Record 1
The following is a GGA-PBE calculation of a geometry-optimized NbZnCoPb structure, from OQMD.

SG = F-43m (216)
Relative energy among the computed polymorphs = 0.000 eV per atom
Crystal system = cubic

a b c (Å): 4.5642 4.5642 4.5642
angles (deg): 60.00 60.00 60.00
Last column: nearest neighbours and their distance in Å.
Element x y z (fractional)
Nb  0.0000  0.0000  0.0000  4 Co 2.80, 4 Zn 2.80
Zn  0.2500  0.2500  0.2500  4 Pb 2.80, 4 Nb 2.80
Co  0.7500  0.7500  0.7500  4 Pb 2.80, 4 Nb 2.80
Pb  0.5000  0.5000  0.5000  4 Co 2.80, 4 Zn 2.80

=====

Record 2
The following is a GGA-PBE calculation of a geometry-optimized NbCoPd2 structure, from OQMD.

SG = F-43m (216)
Energy of formation = -0.096 eV per atom
Crystal system = cubic

a b c (Å): 4.3739 4.3739 4.3739
angles (deg): 60.00 60.00 60.00
Last column: nearest neighbours and their distance in Å.
Element x y z (fractional)
Nb  0.0000  0.0000  0.0000  4 Co 2.68, 4 Pd 2.68
Co  0.2500  0.2500  0.2500  4 Nb 2.68, 4 Pd 2.68
Pd  0.5000  0.5000  0.5000  4 Co 2.68, 4 Pd 2.68
Pd  0.7500  0.7500  0.7500  4 Nb 2.68, 4 Pd 2.68

=====

Record 3
The following is a GGA-PBE calculation of a geometry-optimized NbCoPd2 structure, from OQMD.

SG = F-43m (216)
Energy of formation = -0.096 eV per atom
Crystal system = cubic

a b c (Å): 4.3713 4.3713 4.3713
angles (deg): 60.00 60.00 60.00
Last column: nearest neighbours and their distance in Å.
Element x y z (fractional)
Nb  0.0000  0.0000  0.0000  4 Pd 2.68, 4 Co 2.68
Co  0.2500  0.2500  0.2500  4 Nb 2.68, 4 Pd 2.68
Pd  0.5000  0.5000  0.5000  4 Pd 2.68, 4 Co 2.68
Pd  0.7500  0.7500  0.7500  4 Nb 2.68, 4 Pd 2.68

=====

Record 4
The following is a GGA-PBE calculation of a geometry-optimized Nb4Co2PdSe12 structure, from OQMD.

SG = C2/m (12)
Total energy = -6.051 eV/atom
Crystal system = monoclinic

a b c (Å): 6.9105 6.9105 19.3485
angles (deg): 107.88 107.88 28.65
Last column: nearest neighbours and their distance in Å.
Element x y z (fractional)
Nb  0.1208  0.1208  0.1496  6 Se 2.54-2.64
Nb  0.2427  0.2427  0.4058  6 Se 2.56-2.72
Nb  0.7573  0.7573  0.5942  6 Se 2.56-2.72
Nb  0.8792  0.8792  0.8504  6 Se 2.54-2.64
Co  0.2721  0.2721  0.7174  5 Se 2.37-2.42
Co  0.7279  0.7279  0.2826  5 Se 2.37-2.42
Pd  0.5000  0.5000  0.0000  4 Se 2.47-2.49
Se  0.0997  0.0997  0.2810  2 Co 2.42, 2 Nb 2.56-2.64
Se  0.1234  0.1234  0.6109  1 Co 2.37, 2 Nb 2.57
Se  0.3099  0.3099  0.2342  2 Co 2.38, 1 Nb 2.54
Se  0.3100  0.3100  0.9273  1 Pd 2.49, 2 Nb 2.62
Se  0.3700  0.3700  0.5468  3 Nb 2.63-2.72
Se  0.4647  0.4647  0.1178  1 Pd 2.47, 2 Nb 2.62
Se  0.5353  0.5353  0.8822  1 Pd 2.47, 2 Nb 2.62
Se  0.6300  0.6300  0.4532  3 Nb 2.63-2.72
Se  0.6900  0.6900  0.0727  1 Pd 2.49, 2 Nb 2.62
Se  0.6901  0.6901  0.7658  2 Co 2.38, 1 Nb 2.54
Se  0.8766  0.8766  0.3891  1 Co 2.37, 2 Nb 2.57
Se  0.9003  0.9003  0.7190  2 Co 2.42, 2 Nb 2.56-2.64

=====

Record 5
The following is a GGA-PBE calculation of a geometry-optimized Nb2Co2Pt structure, from OQMD.

SG = P4/mbm (127)
Energy of formation = -0.356 eV per atom
Crystal system = tetragonal

a b c (Å): 6.8676 6.8676 3.0396
angles (deg): 90.00 90.00 90.00
Last column: nearest neighbours and their distance in Å.
Element x y z (fractional)
Nb  0.1719  0.3281  0.0000  6 Co 2.46-2.58
Nb  0.3281  0.8281  0.0000  6 Co 2.46-2.58
Nb  0.6719  0.1719  0.0000  6 Co 2.46-2.58
Nb  0.8281  0.6719  0.0000  6 Co 2.46-2.58
Co  0.1295  0.6295  0.5000  6 Nb 2.46-2.58, 1 Co 2.52, 2 Pt 2.70
Co  0.3705  0.1295  0.5000  6 Nb 2.46-2.58, 1 Co 2.52, 2 Pt 2.70
Co  0.6295  0.8705  0.5000  6 Nb 2.46-2.58, 1 Co 2.52, 2 Pt 2.70
Co  0.8705  0.3705  0.5000  6 Nb 2.46-2.58, 1 Co 2.52, 2 Pt 2.70
Pt  0.0000  0.0000  0.5000  4 Co 2.70, 8 Nb 2.96
Pt  0.5000  0.5000  0.5000  4 Co 2.70, 8 Nb 2.96

=====

Record 6
The following is a GGA-PBE calculation of a geometry-optimized NbCoPt structure, from OQMD.

SG = F-43m (216)
Relative energy among the computed polymorphs = 0.000 eV per atom
Energy of formation = 0.009 eV per atom
Crystal system = cubic

a b c (Å): 4.1161 4.1161 4.1161
angles (deg): 60.00 60.00 60.00
Last column: nearest neighbours and their distance in Å.
Element x y z (fractional)
Nb  0.0000  0.0000  0.0000  4 Co 2.52
Co  0.2500  0.2500  0.2500  4 Pt 2.52, 4 Nb 2.52
Pt  0.5000  0.5000  0.5000  4 Co 2.52

=====

Record 7
The following is a GGA-PBE calculation of a geometry-optimized Nb2CoPt structure, from OQMD.

SG = F-43m (216)
Energy of formation = -0.146 eV per atom
Crystal system = cubic

a b c (Å): 4.4303 4.4303 4.4303
angles (deg): 60.00 60.00 60.00
Last column: nearest neighbours and their distance in Å.
Element x y z (fractional)
Nb  0.0000  0.0000  0.0000  4 Nb 2.71, 4 Co 2.71
Nb  0.2500  0.2500  0.2500  4 Nb 2.71, 4 Pt 2.71
Co  0.7500  0.7500  0.7500  4 Nb 2.71, 4 Pt 2.71
Pt  0.5000  0.5000  0.5000  4 Nb 2.71, 4 Co 2.71

=====

Record 8
The following is a GGA-PBE calculation of a geometry-optimized NbCoPt structure, from OQMD.

SG = F-43m (216)
Relative energy among the computed polymorphs = 0.119 eV per atom
Energy of formation = 0.128 eV per atom
Crystal system = cubic

a b c (Å): 4.1953 4.1953 4.1953
angles (deg): 60.00 60.00 60.00
Last column: nearest neighbours and their distance in Å.
Element x y z (fractional)
Nb  0.0000  0.0000  0.0000  4 Co 2.57, 4 Pt 2.57
Co  0.2500  0.2500  0.2500  4 Nb 2.57
Pt  0.7500  0.7500  0.7500  4 Nb 2.57

=====

Record 9
The following is a GGA-PBE calculation of a geometry-optimized Nb4Co2PtSe12 structure, from OQMD.

SG = C2/m (12)
Total energy = -6.100 eV/atom
Crystal system = monoclinic

a b c (Å): 7.0262 7.0262 19.3309
angles (deg): 108.70 108.70 28.10
Last column: nearest neighbours and their distance in Å.
Element x y z (fractional)
Nb  0.1194  0.1194  0.1482  6 Se 2.54-2.64
Nb  0.2425  0.2425  0.4070  6 Se 2.57-2.71
Nb  0.7575  0.7575  0.5930  6 Se 2.57-2.71
Nb  0.8806  0.8806  0.8518  6 Se 2.54-2.64
Co  0.2732  0.2732  0.7181  5 Se 2.36-2.41
Co  0.7268  0.7268  0.2819  5 Se 2.36-2.41
Pt  0.5000  0.5000  0.0000  4 Se 2.47-2.48
Se  0.1010  0.1010  0.2800  2 Co 2.41, 2 Nb 2.57-2.64
Se  0.1262  0.1262  0.6106  1 Co 2.36, 2 Nb 2.58
Se  0.3068  0.3068  0.2340  2 Co 2.37, 1 Nb 2.54
Se  0.3117  0.3117  0.9282  1 Pt 2.48, 2 Nb 2.62
Se  0.3705  0.3705  0.5483  3 Nb 2.63-2.71
Se  0.4645  0.4645  0.1173  1 Pt 2.47, 2 Nb 2.63
Se  0.5355  0.5355  0.8827  1 Pt 2.47, 2 Nb 2.63
Se  0.6295  0.6295  0.4517  3 Nb 2.63-2.71
Se  0.6883  0.6883  0.0718  1 Pt 2.48, 2 Nb 2.62
Se  0.6932  0.6932  0.7660  2 Co 2.37, 1 Nb 2.54
Se  0.8738  0.8738  0.3894  1 Co 2.36, 2 Nb 2.58
Se  0.8990  0.8990  0.7200  2 Co 2.41, 2 Nb 2.57-2.64

=====

Record 10
The following is a GGA-PBE calculation of a geometry-optimized NbCoSiPt structure, from OQMD.

SG = F-43m (216)
Relative energy among the computed polymorphs = 0.060 eV per atom
Crystal system = cubic

a b c (Å): 4.3380 4.3380 4.3380
angles (deg): 60.00 60.00 60.00
Last column: nearest neighbours and their distance in Å.
Element x y z (fractional)
Nb  0.0000  0.0000  0.0000  4 Co 2.66, 4 Pt 2.66
Co  0.7500  0.7500  0.7500  4 Nb 2.66, 4 Si 2.66
Si  0.5000  0.5000  0.5000  4 Co 2.66, 4 Pt 2.66
Pt  0.2500  0.2500  0.2500  4 Nb 2.66, 4 Si 2.66

=====

Record 11
The following is a GGA-PBE calculation of a geometry-optimized NbCoSiPt structure, from OQMD.

SG = F-43m (216)
Relative energy among the computed polymorphs = 0.000 eV per atom
Crystal system = cubic

a b c (Å): 4.3319 4.3319 4.3319
angles (deg): 60.00 60.00 60.00
Last column: nearest neighbours and their distance in Å.
Element x y z (fractional)
Nb  0.0000  0.0000  0.0000  4 Pt 2.65, 4 Si 2.65
Co  0.5000  0.5000  0.5000  4 Pt 2.65, 4 Si 2.65
Si  0.2500  0.2500  0.2500  4 Nb 2.65, 4 Co 2.65
Pt  0.7500  0.7500  0.7500  4 Nb 2.65, 4 Co 2.65

=====

Record 12
The following is a GGA-PBE calculation of a geometry-optimized PuNbCo structure, from OQMD.

SG = F-43m (216)
Relative energy among the computed polymorphs = 0.282 eV per atom
Energy of formation = 1.099 eV per atom
Crystal system = cubic

a b c (Å): 4.2646 4.2646 4.2646
angles (deg): 60.00 60.00 60.00
Last column: nearest neighbours and their distance in Å.
Element x y z (fractional)
Pu  0.0000  0.0000  0.0000  4 Nb 2.61, 4 Co 2.61
Nb  0.7500  0.7500  0.7500  4 Pu 2.61
Co  0.2500  0.2500  0.2500  4 Pu 2.61

=====

Record 13
The following is a GGA-PBE calculation of a geometry-optimized PuNbCo structure, from OQMD.

SG = F-43m (216)
Relative energy among the computed polymorphs = 0.000 eV per atom
Energy of formation = 0.816 eV per atom
Crystal system = cubic

a b c (Å): 4.2593 4.2593 4.2593
angles (deg): 60.00 60.00 60.00
Last column: nearest neighbours and their distance in Å.
Element x y z (fractional)
Pu  0.0000  0.0000  0.0000  4 Co 2.61
Nb  0.5000  0.5000  0.5000  4 Co 2.61
Co  0.7500  0.7500  0.7500  4 Nb 2.61, 4 Pu 2.61

=====

Record 14
The following is a GGA-PBE calculation of a geometry-optimized NbCoRe2 structure, from OQMD.

SG = F-43m (216)
Energy of formation = 0.098 eV per atom
Crystal system = cubic

a b c (Å): 4.3768 4.3768 4.3768
angles (deg): 60.00 60.00 60.00
Last column: nearest neighbours and their distance in Å.
Element x y z (fractional)
Nb  0.0000  0.0000  0.0000  4 Re 2.68, 4 Co 2.68
Co  0.2500  0.2500  0.2500  4 Re 2.68, 4 Nb 2.68
Re  0.5000  0.5000  0.5000  4 Co 2.68, 4 Re 2.68
Re  0.7500  0.7500  0.7500  4 Re 2.68, 4 Nb 2.68

=====

Record 15
The following is a GGA-PBE calculation of a geometry-optimized NbCoRe structure, from OQMD.

SG = F-43m (216)
Relative energy among the computed polymorphs = 0.000 eV per atom
Energy of formation = 0.490 eV per atom
Crystal system = cubic

a b c (Å): 4.1042 4.1042 4.1042
angles (deg): 60.00 60.00 60.00
Last column: nearest neighbours and their distance in Å.
Element x y z (fractional)
Nb  0.0000  0.0000  0.0000  4 Co 2.51
Co  0.2500  0.2500  0.2500  4 Nb 2.51, 4 Re 2.51
Re  0.5000  0.5000  0.5000  4 Co 2.51

=====

Record 16
The following is a GGA-PBE calculation of a geometry-optimized NbCoReSn structure, from OQMD.

SG = F-43m (216)
Relative energy among the computed polymorphs = 0.000 eV per atom
Crystal system = cubic

a b c (Å): 4.4892 4.4892 4.4892
angles (deg): 60.00 60.00 60.00
Last column: nearest neighbours and their distance in Å.
Element x y z (fractional)
Nb  0.0000  0.0000  0.0000  4 Re 2.75, 4 Co 2.75
Co  0.7500  0.7500  0.7500  4 Nb 2.75, 4 Sn 2.75
Re  0.2500  0.2500  0.2500  4 Sn 2.75, 4 Nb 2.75
Sn  0.5000  0.5000  0.5000  4 Co 2.75, 4 Re 2.75

=====

Record 17
The following is a GGA-PBE calculation of a geometry-optimized NbZnCoRe structure, from OQMD.

SG = F-43m (216)
Relative energy among the computed polymorphs = 0.000 eV per atom
Energy of formation = 0.118 eV per atom
Crystal system = cubic

a b c (Å): 4.3369 4.3369 4.3369
angles (deg): 60.00 60.00 60.00
Last column: nearest neighbours and their distance in Å.
Element x y z (fractional)
Nb  0.0000  0.0000  0.0000  4 Co 2.66, 4 Re 2.66
Zn  0.5000  0.5000  0.5000  4 Co 2.66, 4 Re 2.66
Co  0.7500  0.7500  0.7500  4 Nb 2.66, 4 Zn 2.66
Re  0.2500  0.2500  0.2500  4 Nb 2.66, 4 Zn 2.66

=====

Record 18
The following is a GGA-PBE calculation of a geometry-optimized Nb3CoS6 structure, from OQMD.

SG = P6_322 (182)
Total energy = -7.205 eV/atom
Crystal system = hexagonal

a b c (Å): 5.7806 5.7806 11.7093
angles (deg): 90.00 90.00 120.00
Last column: nearest neighbours and their distance in Å.
Element x y z (fractional)
Nb  0.0000  0.0000  0.0000  6 S 2.49
Nb  0.0000  0.0000  0.5000  6 S 2.49
Nb  0.3333  0.6667  0.0031  6 S 2.47-2.50
Nb  0.3333  0.6667  0.4970  6 S 2.47-2.50
Nb  0.6667  0.3333  0.5030  6 S 2.47-2.50
Nb  0.6667  0.3333  0.9970  6 S 2.47-2.50
Co  0.3333  0.6667  0.7500  6 S 2.35
Co  0.6667  0.3333  0.2500  6 S 2.35
S  0.0026  0.3345  0.8655  1 Co 2.35, 3 Nb 2.47-2.50
S  0.0026  0.6680  0.6345  1 Co 2.35, 3 Nb 2.47-2.50
S  0.3320  0.3345  0.6345  1 Co 2.35, 3 Nb 2.47-2.50
S  0.3320  0.9974  0.8655  1 Co 2.35, 3 Nb 2.47-2.50
S  0.3345  0.0026  0.1345  1 Co 2.35, 3 Nb 2.47-2.50
S  0.3345  0.3320  0.3655  1 Co 2.35, 3 Nb 2.47-2.50
S  0.6655  0.6680  0.8655  1 Co 2.35, 3 Nb 2.47-2.50
S  0.6655  0.9974  0.6345  1 Co 2.35, 3 Nb 2.47-2.50
S  0.6680  0.0026  0.3655  1 Co 2.35, 3 Nb 2.47-2.50
S  0.6680  0.6655  0.1345  1 Co 2.35, 3 Nb 2.47-2.50
S  0.9974  0.3320  0.1345  1 Co 2.35, 3 Nb 2.47-2.50
S  0.9974  0.6655  0.3655  1 Co 2.35, 3 Nb 2.47-2.50

=====

Record 19
The following is a GGA-PBE calculation of a geometry-optimized Nb4CoS8 structure, from OQMD.

SG = P6_3/mmc (194)
Total energy = -7.201 eV/atom
Crystal system = hexagonal

a b c (Å): 6.6629 6.6629 11.6805
angles (deg): 90.00 90.00 120.00
Last column: nearest neighbours and their distance in Å.
Element x y z (fractional)
Nb  0.0000  0.0000  0.2500  6 S 2.47
Nb  0.0000  0.0000  0.7500  6 S 2.47
Nb  0.0133  0.5066  0.2500  6 S 2.46-2.52
Nb  0.4934  0.5066  0.2500  6 S 2.46-2.52
Nb  0.4934  0.9867  0.2500  6 S 2.46-2.52
Nb  0.5066  0.0133  0.7500  6 S 2.46-2.52
Nb  0.5066  0.4934  0.7500  6 S 2.46-2.52
Nb  0.9867  0.4934  0.7500  6 S 2.46-2.52
Co  0.0000  0.0000  0.0000  6 S 2.34
Co  0.0000  0.0000  0.5000  6 S 2.34
S  0.1653  0.3305  0.6156  1 Co 2.34, 3 Nb 2.47-2.52
S  0.1653  0.3305  0.8844  1 Co 2.34, 3 Nb 2.47-2.52
S  0.1653  0.8347  0.6156  1 Co 2.34, 3 Nb 2.47-2.52
S  0.1653  0.8347  0.8844  1 Co 2.34, 3 Nb 2.47-2.52
S  0.3305  0.1653  0.1156  1 Co 2.34, 3 Nb 2.47-2.52
S  0.3305  0.1653  0.3844  1 Co 2.34, 3 Nb 2.47-2.52
S  0.3333  0.6667  0.1111  3 Nb 2.46
S  0.3333  0.6667  0.3889  3 Nb 2.46
S  0.6667  0.3333  0.6111  3 Nb 2.46
S  0.6667  0.3333  0.8889  3 Nb 2.46
S  0.6695  0.8347  0.6156  1 Co 2.34, 3 Nb 2.47-2.52
S  0.6695  0.8347  0.8844  1 Co 2.34, 3 Nb 2.47-2.52
S  0.8347  0.1653  0.1156  1 Co 2.34, 3 Nb 2.47-2.52
S  0.8347  0.1653  0.3844  1 Co 2.34, 3 Nb 2.47-2.52
S  0.8347  0.6695  0.1156  1 Co 2.34, 3 Nb 2.47-2.52
S  0.8347  0.6695  0.3844  1 Co 2.34, 3 Nb 2.47-2.52

=====

Record 20
The following is a GGA-PBE calculation of a geometry-optimized Nb2CoS4 structure, from OQMD.

SG = Pnma (62)
Total energy = -6.933 eV/atom
Crystal system = orthorhombic

a b c (Å): 11.7084 3.3242 12.9119
angles (deg): 90.00 90.00 90.00
Last column: nearest neighbours and their distance in Å.
Element x y z (fractional)
Nb  0.0382  0.2500  0.0997  6 S 2.41-2.65, 1 Co 2.59
Nb  0.0702  0.2500  0.5729  5 S 2.46-2.50
Nb  0.4298  0.7500  0.0729  5 S 2.46-2.50
Nb  0.4618  0.7500  0.5997  6 S 2.41-2.65, 1 Co 2.59
Nb  0.5382  0.2500  0.4003  6 S 2.41-2.65, 1 Co 2.59
Nb  0.5702  0.2500  0.9271  5 S 2.46-2.50
Nb  0.9298  0.7500  0.4271  5 S 2.46-2.50
Nb  0.9618  0.7500  0.9003  6 S 2.41-2.65, 1 Co 2.59
Co  0.1535  0.2500  0.2711  3 S 2.27
Co  0.3465  0.7500  0.7711  3 S 2.27
Co  0.6535  0.2500  0.2289  3 S 2.27
Co  0.8465  0.7500  0.7289  3 S 2.27
S  0.0397  0.7500  0.7138  1 Co 2.27, 2 Nb 2.49
S  0.1129  0.2500  0.9260  3 Nb 2.41-2.45
S  0.1396  0.7500  0.4421  3 Nb 2.46-2.50
S  0.2010  0.7500  0.1599  2 Co 2.27
S  0.2990  0.2500  0.6599  2 Co 2.27
S  0.3604  0.2500  0.9421  3 Nb 2.46-2.50
S  0.3871  0.7500  0.4260  3 Nb 2.41-2.45
S  0.4603  0.2500  0.2138  1 Co 2.27, 2 Nb 2.49
S  0.5397  0.7500  0.7862  1 Co 2.27, 2 Nb 2.49
S  0.6129  0.2500  0.5740  3 Nb 2.41-2.45
S  0.6396  0.7500  0.0579  3 Nb 2.46-2.50
S  0.7010  0.7500  0.3401  2 Co 2.27
S  0.7990  0.2500  0.8401  2 Co 2.27
S  0.8604  0.2500  0.5579  3 Nb 2.46-2.50
S  0.8871  0.7500  0.0740  3 Nb 2.41-2.45
S  0.9603  0.2500  0.2862  1 Co 2.27, 2 Nb 2.49